[1]
This record from Alexandria via LeMat-Bulk describes a relaxed structure of KVIrO6. The functional is PBE with a Hubbard U.

## Properties
**Spin magnetization**: 1.82 μB per formula unit
**E**: -6.509 eV/atom
**Calculated density**: 4501 kg/m³

Geometry as CIF:
```
data_KVIrO6
_chemical_formula_sum 'K1 V1 Ir1 O6'
_space_group_name_H-M_alt 'P 1'
_space_group_IT_number 1
_space_group_name_Hall 'P 1'
_cell_length_a 5.189
_cell_length_b 5.189
_cell_length_c 5.985
_cell_angle_alpha 90.00
_cell_angle_beta 90.00
_cell_angle_gamma 120.00
loop_
_atom_site_label
_atom_site_fract_x
_atom_site_fract_y
_atom_site_fract_z
K1 0.000 0.000 0.000
V1 0.333 0.667 0.500
Ir1 0.667 0.333 0.500
O1 0.005 0.392 0.678
O2 0.005 0.613 0.322
O3 0.387 0.392 0.322
O4 0.387 0.995 0.678
O5 0.608 0.613 0.678
O6 0.608 0.995 0.322
```



[2]
This record from Alexandria via LeMat-Bulk describes a relaxed structure of K2VIrO6. The functional is PBE with a Hubbard U.

## Properties
**Spin magnetization**: 0.00 μB per formula unit
**E**: -6.216 eV/atom
**Calculated density**: 5866 kg/m³

Geometry as CIF:
```
data_K2VIrO6
_chemical_formula_sum 'K2 V1 Ir1 O6'
_space_group_name_H-M_alt 'P 1'
_space_group_IT_number 1
_space_group_name_Hall 'P 1'
_cell_length_a 5.508
_cell_length_b 5.508
_cell_length_c 5.508
_cell_angle_alpha 60.00
_cell_angle_beta 60.00
_cell_angle_gamma 60.00
loop_
_atom_site_label
_atom_site_fract_x
_atom_site_fract_y
_atom_site_fract_z
K1 0.250 0.250 0.250
K2 0.750 0.750 0.750
V1 0.000 0.000 0.000
Ir1 0.500 0.500 0.500
O1 0.246 0.246 0.754
O2 0.246 0.754 0.246
O3 0.246 0.754 0.754
O4 0.754 0.246 0.246
O5 0.754 0.246 0.754
O6 0.754 0.754 0.246
```



[3]
This record from Alexandria via LeMat-Bulk describes a relaxed structure of K2VIr3O12. The functional is PBE with a Hubbard U.

## Properties
**Spin magnetization**: 2.57 μB per formula unit
**E**: -6.392 eV/atom
**Calculated density**: 5737 kg/m³

Geometry as CIF:
```
data_K2VIr3O12
_chemical_formula_sum 'K2 V1 Ir3 O12'
_space_group_name_H-M_alt 'P 1'
_space_group_IT_number 1
_space_group_name_Hall 'P 1'
_cell_length_a 7.158
_cell_length_b 7.158
_cell_length_c 7.158
_cell_angle_alpha 60.09
_cell_angle_beta 60.09
_cell_angle_gamma 60.09
loop_
_atom_site_label
_atom_site_fract_x
_atom_site_fract_y
_atom_site_fract_z
K1 0.125 0.125 0.125
K2 0.875 0.875 0.875
V1 0.500 0.500 0.500
Ir1 0.000 0.500 0.500
Ir2 0.500 0.000 0.500
Ir3 0.500 0.500 0.000
O1 0.176 0.176 0.574
O2 0.176 0.574 0.176
O3 0.189 0.565 0.565
O4 0.426 0.824 0.824
O5 0.435 0.435 0.811
O6 0.435 0.811 0.435
O7 0.565 0.189 0.565
O8 0.565 0.565 0.189
O9 0.574 0.176 0.176
O10 0.811 0.435 0.435
O11 0.824 0.426 0.824
O12 0.824 0.824 0.426
```



[4]
This record from Alexandria via LeMat-Bulk describes a relaxed structure of K2IrW3O12. The functional is PBE with a Hubbard U.

## Properties
**Spin magnetization**: 1.06 μB per formula unit
**E**: -6.917 eV/atom
**Calculated density**: 5988 kg/m³

Geometry as CIF:
```
data_K2IrW3O12
_chemical_formula_sum 'K2 Ir1 W3 O12'
_space_group_name_H-M_alt 'P 1'
_space_group_IT_number 1
_space_group_name_Hall 'P 1'
_cell_length_a 7.313
_cell_length_b 7.313
_cell_length_c 7.313
_cell_angle_alpha 60.73
_cell_angle_beta 60.73
_cell_angle_gamma 60.73
loop_
_atom_site_label
_atom_site_fract_x
_atom_site_fract_y
_atom_site_fract_z
K1 0.144 0.144 0.144
K2 0.856 0.856 0.856
Ir1 0.500 0.500 0.500
W1 0.000 0.500 0.500
W2 0.500 0.000 0.500
W3 0.500 0.500 0.000
O1 0.181 0.565 0.565
O2 0.187 0.187 0.558
O3 0.187 0.558 0.187
O4 0.435 0.435 0.819
O5 0.435 0.819 0.435
O6 0.442 0.813 0.813
O7 0.558 0.187 0.187
O8 0.565 0.181 0.565
O9 0.565 0.565 0.181
O10 0.813 0.442 0.813
O11 0.813 0.813 0.442
O12 0.819 0.435 0.435
```